(1)
# Ba2BeW (GGA-PBE, relaxed)
data_Ba2BeW
_chemical_formula_sum 'Ba6 Be3 W3'
_cell_length_a 4.2626
_cell_length_b 4.2626
_cell_length_c 26.3619
_cell_angle_alpha 90.00
_cell_angle_beta 90.00
_cell_angle_gamma 120.00
_symmetry_space_group_name_H-M 'R 3 m'
_symmetry_Int_Tables_number 160
_symmetry_space_group_name_Hall 'R 3 -2"'
loop_
_atom_site_label
_atom_site_type_symbol
_atom_site_fract_x
_atom_site_fract_y
_atom_site_fract_z
_atom_site_occupancy
Ba1 Ba 0.0000 0.0000 0.0000 1
Ba2 Ba 0.0000 0.0000 0.1721 1
Be1 Be 0.0000 0.0000 0.4193 1
W1 W 0.0000 0.0000 0.7527 1
# Energy, eV/atom: -4.341
# ΔE_f, eV/atom: 0.790
# Total moment, μB per formula unit: 1.49
# N(E_F), states/eV per cell: 13.1

(2)
# LaNi2Au2 (GGA-PBE, relaxed)
data_LaNi2Au2
_chemical_formula_sum 'La2 Ni4 Au4'
_cell_length_a 7.107
_cell_length_b 7.107
_cell_length_c 3.544
_cell_angle_alpha 90.00
_cell_angle_beta 90.00
_cell_angle_gamma 90.00
_symmetry_space_group_name_H-M 'P 4/m b m'
_symmetry_Int_Tables_number 127
_symmetry_space_group_name_Hall '-P 4 2ab'
loop_
_atom_site_label
_atom_site_type_symbol
_atom_site_fract_x
_atom_site_fract_y
_atom_site_fract_z
_atom_site_occupancy
La1 La 0.000 0.000 0.000 1
Ni1 Ni 0.129 0.371 0.000 1
Au1 Au 0.159 0.659 0.500 1
# Energy, eV/atom: -4.895
# ΔE_f, eV/atom: -0.286
# Total moment, μB per formula unit: 0.00
# N(E_F), states/eV per cell: 5.8
# Relative energy among the computed polymorphs, kJ/mol of formula units: 36